A relaxed ZrV6 crystal. Source: Alexandria via LeMat-Bulk, functional PBE.

Properties
Formation energy: 0.14 eV per atom
D(E_F): 9.43 states/eV/f.u.
Crystal system: orthorhombic
DFT total energy: -8.8949 eV/atom
M_tot: 0.00 μB per atom

The structure in CIF format:
```
data_ZrV6
_symmetry_space_group_name_H-M 'P n m a'
_symmetry_Int_Tables_number 62
_cell_length_a 8.2967
_cell_length_b 5.1525
_cell_length_c 9.9973
_cell_angle_alpha 90.00
_cell_angle_beta 90.00
_cell_angle_gamma 90.00
loop_
_symmetry_equiv_pos_as_xyz
'x,y,z'
'-x,-y,-z'
'-x+1/2,-y,z+1/2'
'x+1/2,y,-z+1/2'
'x+1/2,-y+1/2,-z+1/2'
'-x+1/2,y+1/2,z+1/2'
'-x,y+1/2,-z'
'x,-y+1/2,z'
loop_
_atom_site_label
_atom_site_type_symbol
_atom_site_fract_x
_atom_site_fract_y
_atom_site_fract_z
Zr1 Zr 0.2489 0.2500 0.0730
V1 V 0.0476 0.7500 0.0888
V2 V 0.0622 0.0091 0.3109
V3 V 0.1012 0.2500 0.5154
V4 V 0.1373 0.7500 0.8712
V5 V 0.1929 0.2500 0.7484
```

A relaxed Hf4Bi3Te crystal. Source: Alexandria via LeMat-Bulk, functional PBE.

Properties
Uncorrected formation energy: -0.326 eV/atom
D(E_F): 4.13 states/eV/f.u.
Crystal system: orthorhombic
DFT total energy: -7.1507 eV/atom
M_tot: 0.00 μB per atom

The structure in CIF format:
```
data_Hf4Bi3Te
_symmetry_space_group_name_H-M 'P m m n'
_symmetry_Int_Tables_number 59
_cell_length_a 5.3523
_cell_length_b 10.7073
_cell_length_c 7.4295
_cell_angle_alpha 90.00
_cell_angle_beta 90.00
_cell_angle_gamma 90.00
loop_
_symmetry_equiv_pos_as_xyz
'x,y,z'
'-x,-y,-z'
'-x+1/2,-y+1/2,z'
'x+1/2,y+1/2,-z'
'x+1/2,-y,-z'
'-x+1/2,y,z'
'-x,y+1/2,-z'
'x,-y+1/2,z'
loop_
_atom_site_label
_atom_site_type_symbol
_atom_site_fract_x
_atom_site_fract_y
_atom_site_fract_z
Hf1 Hf 0.2500 0.0015 0.1134
Hf2 Hf 0.2500 0.2500 0.8791
Hf3 Hf 0.2500 0.7500 0.8844
Bi1 Bi 0.2500 0.0005 0.6892
Bi2 Bi 0.2500 0.7500 0.3088
Te1 Te 0.2500 0.2500 0.2805
```

A relaxed TcN crystal. Source: Alexandria via LeMat-Bulk, functional PBE.

Properties
Uncorrected formation energy: 0.143 eV/atom
D(E_F): 1.34 states/eV/f.u.
Crystal system: hexagonal
DFT total energy: -9.2024 eV/atom
M_tot: 0.00 μB per atom

The structure in CIF format:
```
data_TcN
_symmetry_space_group_name_H-M 'P 63/m m c'
_symmetry_Int_Tables_number 194
_symmetry_space_group_name_Hall '-P 6c 2c'
_cell_length_a 2.8073
_cell_length_b 2.8073
_cell_length_c 5.7555
_cell_angle_alpha 90.00
_cell_angle_beta 90.00
_cell_angle_gamma 120.00
loop_
_atom_site_label
_atom_site_type_symbol
_atom_site_fract_x
_atom_site_fract_y
_atom_site_fract_z
Tc1 Tc 0.0000 0.0000 0.0000
N1 N 0.3333 0.6667 0.2500
```

A relaxed TlAsF2 crystal. Source: Alexandria via LeMat-Bulk, functional PBE.

Properties
Uncorrected formation energy: -0.707 eV/atom
D(E_F): 3.11 states/eV/f.u.
Crystal system: cubic
DFT total energy: -3.3965 eV/atom
M_tot: 0.39 μB per atom

The structure in CIF format:
```
data_TlAsF2
_symmetry_space_group_name_H-M 'F m -3 m'
_symmetry_Int_Tables_number 225
_symmetry_space_group_name_Hall '-F 4 2 3'
_cell_length_a 6.4932
_cell_length_b 6.4932
_cell_length_c 6.4932
_cell_angle_alpha 90.00
_cell_angle_beta 90.00
_cell_angle_gamma 90.00
loop_
_atom_site_label
_atom_site_type_symbol
_atom_site_fract_x
_atom_site_fract_y
_atom_site_fract_z
Tl1 Tl 0.0000 0.0000 0.0000
As1 As 0.0000 0.0000 0.5000
F1 F 0.2500 0.2500 0.2500
```

A relaxed La2PaBi5 crystal. Source: Alexandria via LeMat-Bulk, functional PBE.

Properties
Formation energy: -0.48 eV per atom
D(E_F): 6.08 states/eV/f.u.
Crystal system: tetragonal
DFT total energy: -5.3294 eV/atom
M_tot: 0.08 μB per atom

The structure in CIF format:
```
data_La2PaBi5
_symmetry_space_group_name_H-M 'I 4/m m m'
_symmetry_Int_Tables_number 139
_symmetry_space_group_name_Hall '-I 4 2'
_cell_length_a 8.3932
_cell_length_b 8.3932
_cell_length_c 6.9973
_cell_angle_alpha 90.00
_cell_angle_beta 90.00
_cell_angle_gamma 90.00
loop_
_atom_site_label
_atom_site_type_symbol
_atom_site_fract_x
_atom_site_fract_y
_atom_site_fract_z
La1 La 0.0000 0.5000 0.0000
Pa1 Pa 0.0000 0.0000 0.0000
Bi1 Bi 0.0000 0.0000 0.5000
Bi2 Bi 0.2500 0.2500 0.2500
```

A relaxed NbInAsBr2 crystal. Source: Alexandria via LeMat-Bulk, functional PBE.

Properties
Uncorrected formation energy: -0.183 eV/atom
D(E_F): 1.74 states/eV/f.u.
Crystal system: tetragonal
DFT total energy: -4.3435 eV/atom
M_tot: 0.05 μB per atom

The structure in CIF format:
```
data_NbInAsBr2
_symmetry_space_group_name_H-M 'P 4/m m m'
_symmetry_Int_Tables_number 123
_symmetry_space_group_name_Hall '-P 4 2'
_cell_length_a 5.3217
_cell_length_b 5.3217
_cell_length_c 5.0501
_cell_angle_alpha 90.00
_cell_angle_beta 90.00
_cell_angle_gamma 90.00
loop_
_atom_site_label
_atom_site_type_symbol
_atom_site_fract_x
_atom_site_fract_y
_atom_site_fract_z
Nb1 Nb 0.0000 0.0000 0.0000
In1 In 0.5000 0.5000 0.5000
As1 As 0.0000 0.0000 0.5000
Br1 Br 0.0000 0.5000 0.0000
```

Question: DFT total energy of number 4 (TlAsF2)?
Answer: -3.3965 eV/atom